(1)
Y3TeRhCl: optimized geometry, PBE-GGA.

E_form (uncorrected): -1.14 eV per atom
SG: P2_1/m (11)

Cell lengths 4.121, 8.442, 9.817 Å; angles 95.56, 90.00, 90.00 degrees
Atoms (fractional coordinates):
Y 0.750 0.801 0.120
Y 0.250 0.199 0.880
Y 0.250 0.647 0.400
Y 0.750 0.353 0.600
Y 0.750 0.368 0.180
Y 0.250 0.632 0.820
Te 0.250 0.090 0.179
Te 0.750 0.910 0.821
Rh 0.250 0.568 0.110
Rh 0.750 0.432 0.890
Cl 0.250 0.146 0.585
Cl 0.750 0.854 0.415

---

(2)
ThRhCl: optimized geometry, PBE-GGA.

E_form (uncorrected): -1.18 eV per atom
SG: C2/m (12)

Cell lengths 4.019, 8.176, 10.508 Å; angles 93.32, 101.02, 90.00 degrees
Atoms (fractional coordinates):
Cl 0.087 0.354 0.173
Cl 0.437 0.152 0.874
Cl 0.563 0.848 0.126
Cl 0.913 0.646 0.827
Rh 0.246 0.624 0.492
Rh 0.749 0.875 0.498
Rh 0.754 0.376 0.508
Rh 0.251 0.125 0.502
Th 0.346 0.398 0.691
Th 0.658 0.119 0.317
Th 0.654 0.602 0.309
Th 0.342 0.881 0.683

---

(3)
Ti2RhCl: optimized geometry, PBE-GGA.

E_form (uncorrected): -0.19 eV per atom
SG: Fm-3m (225)

Cell lengths 4.453, 4.453, 4.453 Å; angles 60.00, 60.00, 60.00 degrees
Atoms (fractional coordinates):
Cl 0.000 0.000 0.000
Rh 0.500 0.500 0.500
Ti 0.250 0.250 0.250
Ti 0.750 0.750 0.750

---

(4)
TiRh2Cl: optimized geometry, PBE-GGA.

E_form (uncorrected): 0.09 eV per atom
SG: Fm-3m (225)

Cell lengths 4.429, 4.429, 4.429 Å; angles 60.00, 60.00, 60.00 degrees
Atoms (fractional coordinates):
Cl 0.000 0.000 0.000
Rh 0.250 0.250 0.250
Rh 0.750 0.750 0.750
Ti 0.500 0.500 0.500

---

(5)
Ti2RhCl2: optimized geometry, PBE-GGA.

E_form (uncorrected): -0.19 eV per atom
SG: I4/mmm (139)

Cell lengths 4.343, 4.343, 5.450 Å; angles 66.52, 66.52, 90.00 degrees
Atoms (fractional coordinates):
Cl 0.353 0.353 0.294
Cl 0.647 0.647 0.706
Rh 0.000 0.000 0.000
Ti 0.750 0.250 0.500
Ti 0.250 0.750 0.500

---

(6)
Ti2RhCl2: optimized geometry, PBE-GGA.

E_form (uncorrected): -0.22 eV per atom
SG: P4/mbm (127)

Cell lengths 7.249, 7.249, 2.909 Å; angles 90.00, 90.00, 90.00 degrees
Atoms (fractional coordinates):
Cl 0.368 0.868 0.000
Cl 0.868 0.632 0.000
Cl 0.632 0.132 0.000
Cl 0.132 0.368 0.000
Rh 0.000 0.000 0.000
Rh 0.500 0.500 0.000
Ti 0.176 0.676 0.500
Ti 0.676 0.824 0.500
Ti 0.824 0.324 0.500
Ti 0.324 0.176 0.500